DFT (PBE) results for TbGaPbS4 after structural relaxation.

raw formation energy: -1.066 eV per atom
crystal system: monoclinic

Unit cell a=6.5609 b=6.6868 c=7.9998 alpha=90.00 beta=106.73 gamma=90.00
With the nearest neighbours (Å) after each atom.
Fractional positions:
1 Tb 0.2242 0.2500 0.0574  6 S 2.76-2.86
2 Tb 0.7758 0.7500 0.9426  6 S 2.76-2.86
3 Ga 0.2379 0.7500 0.8163  4 S 2.25-2.28
4 Ga 0.7621 0.2500 0.1837  4 S 2.25-2.28
5 Pb 0.2525 0.2500 0.5688  4 S 2.82-3.09
6 Pb 0.7475 0.7500 0.4312  4 S 2.82-3.09
7 S 0.0005 0.0075 0.7715  1 Ga 2.28
8 S 0.0005 0.4925 0.7715  1 Ga 2.28
9 S 0.4437 0.7500 0.6345  1 Ga 2.25
10 S 0.4502 0.7500 0.0968  1 Ga 2.28
11 S 0.5498 0.2500 0.9032  1 Ga 2.28
12 S 0.5563 0.2500 0.3655  1 Ga 2.25
13 S 0.9995 0.5075 0.2285  1 Ga 2.28
14 S 0.9995 0.9925 0.2285  1 Ga 2.28